{"formula": "LiDy2PtO5", "functional": "PBE", "state": "relaxed", "cell": [[6.515, 0.000, 0.000], [0.000, 6.515, 0.000], [0.000, 0.000, 5.797]], "species": ["Li", "Li", "Dy", "Dy", "Dy", "Dy", "Pt", "Pt", "O", "O", "O", "O", "O", "O", "O", "O", "O", "O"], "frac_coords": [[0.000, 0.000, 0.000], [0.500, 0.500, 0.000], [0.176, 0.324, 0.500], [0.324, 0.824, 0.500], [0.676, 0.176, 0.500], [0.824, 0.676, 0.500], [0.000, 0.500, 0.000], [0.500, 0.000, 0.000], [0.000, 0.000, 0.500], [0.138, 0.638, 0.260], [0.138, 0.638, 0.740], [0.362, 0.138, 0.260], [0.362, 0.138, 0.740], [0.500, 0.500, 0.500], [0.638, 0.862, 0.260], [0.638, 0.862, 0.740], [0.862, 0.362, 0.260], [0.862, 0.362, 0.740]], "e_tot_ev_per_atom": -6.914, "magnetic_moment_mub_per_atom": 0.1107, "space_group": "P4/mbm, No. 127", "raw_formation_energy_ev_per_atom": -2.253}